Entry 1:
Compound: PmZnCu2Ir
Source: Alexandria
Functional: PBE
Structure: relaxed

Values from the calculation:
ΔE_f (kJ per mole of atoms): -27
Space group: No. 44
Spin magnetization (μB/cell): 0.00

Cell lengths 3.945, 4.004, 6.276 Å; angles 108.60, 108.32, 90.00 degrees
Positions (direct):
Cu: 0.693 0.193 0.386
Cu: 0.058 0.058 0.116
Pm: 0.434 0.434 0.868
Zn: 0.189 0.689 0.378
Ir: 0.837 0.837 0.675

Entry 2:
Compound: La8IrOs3Br3
Source: Alexandria
Functional: PBE
Structure: relaxed

Values from the calculation:
Uncorrected formation energy (kJ/mol of atoms): -73
Space group: No. 166
Spin magnetization (μB/cell): 0.01

Cell lengths 8.438, 8.439, 9.198 Å; angles 117.34, 90.00, 120.00 degrees
Positions (direct):
Br: 0.000 0.000 0.000
Br: 0.500 0.500 0.000
Br: 0.000 0.500 0.000
La: 0.732 0.464 0.696
La: 0.767 0.040 0.307
La: 0.272 0.040 0.307
La: 0.233 0.960 0.693
La: 0.767 0.535 0.307
La: 0.268 0.536 0.304
La: 0.233 0.465 0.693
La: 0.728 0.960 0.693
Os: 0.000 0.500 0.500
Os: 0.500 0.000 0.500
Os: 0.500 0.500 0.500
Ir: 0.000 0.000 0.500

Entry 3:
Compound: MgZr2Pd
Source: Alexandria
Functional: PBE
Structure: relaxed

Values from the calculation:
ΔE_f (kJ per mole of atoms): 3
Space group: No. 166
Spin magnetization (μB/cell): 0.00

Cell lengths 3.038, 3.038, 10.825 Å; angles 81.93, 81.93, 60.00 degrees
Positions (direct):
Mg: 0.000 0.000 0.000
Zr: 0.906 0.906 0.283
Zr: 0.094 0.094 0.717
Pd: 0.500 0.500 0.500

Entry 4:
Compound: SrIr2F
Source: Alexandria
Functional: PBE
Structure: relaxed

Values from the calculation:
Uncorrected formation energy (kJ/mol of atoms): 9
Space group: No. 141
Relative energy among the computed polymorphs (eV/f.u.): 0.00
Spin magnetization (μB/cell): 0.00

Cell lengths 4.725, 4.725, 9.142 Å; angles 75.02, 75.02, 90.00 degrees
Positions (direct):
Sr: 0.000 0.000 0.000
Sr: 0.750 0.250 0.500
F: 0.250 0.750 0.500
F: 0.500 0.500 0.000
Ir: 0.875 0.625 0.750
Ir: 0.375 0.125 0.250
Ir: 0.375 0.625 0.250
Ir: 0.375 0.625 0.750

Entry 5:
Compound: TaNbCu6Se8
Source: Alexandria
Functional: PBE
Structure: relaxed

Values from the calculation:
Uncorrected formation energy (kJ/mol of atoms): -50
Space group: No. 216
Spin magnetization (μB/cell): 0.00

Cell lengths 8.092, 8.092, 8.092 Å; angles 60.00, 60.00, 60.00 degrees
Positions (direct):
Nb: 0.000 0.000 0.000
Se: 0.876 0.876 0.373
Se: 0.876 0.876 0.876
Se: 0.876 0.373 0.876
Se: 0.376 0.376 0.873
Se: 0.373 0.876 0.876
Se: 0.376 0.873 0.376
Se: 0.376 0.376 0.376
Se: 0.873 0.376 0.376
Cu: 0.750 0.250 0.750
Cu: 0.250 0.750 0.750
Cu: 0.250 0.750 0.250
Cu: 0.750 0.750 0.250
Cu: 0.750 0.250 0.250
Cu: 0.250 0.250 0.750
Ta: 0.500 0.500 0.500

Entry 6:
Compound: CsSnPO2
Source: Alexandria
Functional: PBE
Structure: relaxed

Values from the calculation:
Uncorrected formation energy (kJ/mol of atoms): 73
Space group: No. 123
Relative energy among the computed polymorphs (eV/f.u.): 5.70
Spin magnetization (μB/cell): 0.00

Cell lengths 4.441, 4.441, 5.603 Å; angles 90.00, 90.00, 90.00 degrees
Positions (direct):
Cs: 0.000 0.000 0.000
P: 0.000 0.000 0.500
O: 0.500 0.000 0.000
O: 0.000 0.500 0.000
Sn: 0.500 0.500 0.500

Entry 7:
Compound: TmZr2Re
Source: Alexandria
Functional: PBE
Structure: relaxed

Values from the calculation:
ΔE_f (kJ per mole of atoms): -2
Space group: No. 123
Relative energy among the computed polymorphs (eV/f.u.): 0.00
Spin magnetization (μB/cell): 0.25

Cell lengths 3.364, 3.364, 7.800 Å; angles 90.00, 90.00, 90.00 degrees
Each line ends with the local moment (μB).
Positions (direct):
Zr: 0.000 0.000 0.201  0.04
Zr: 0.000 0.000 0.799  0.04
Tm: 0.500 0.500 0.500  0.09
Re: 0.500 0.500 0.000  0.00

Entry 8:
Compound: Ag2HS2
Source: Alexandria
Functional: PBE
Structure: relaxed

Values from the calculation:
Uncorrected energy (eV/cell): -33.99
Space group: No. 36
Spin magnetization (μB/cell): 0.00

Cell lengths 4.054, 5.584, 7.911 Å; angles 90.00, 104.85, 90.00 degrees
Positions (direct):
S: 0.427 0.133 0.854
S: 0.805 0.608 0.610
S: 0.573 0.633 0.146
S: 0.195 0.108 0.390
Ag: 0.965 0.653 0.930
Ag: 0.201 0.604 0.403
Ag: 0.799 0.104 0.597
Ag: 0.035 0.153 0.070
H: 0.596 0.868 0.191
H: 0.404 0.368 0.809

Entry 9:
Compound: CsKAgI
Source: Alexandria
Functional: PBE
Structure: relaxed

Values from the calculation:
Uncorrected formation energy (kJ/mol of atoms): -62
Space group: No. 216
Spin magnetization (μB/cell): 0.00

Cell lengths 6.301, 6.301, 6.301 Å; angles 60.00, 60.00, 60.00 degrees
Positions (direct):
I: 0.750 0.750 0.750
Ag: 0.250 0.250 0.250
Cs: 0.500 0.500 0.500
K: 0.000 0.000 0.000

Entry 10:
Compound: K2AsPbO4
Source: Alexandria
Functional: PBE
Structure: relaxed

Values from the calculation:
Uncorrected formation energy (kJ/mol of atoms): -128
Space group: No. 82
Spin magnetization (μB/cell): 1.00

Cell lengths 5.939, 5.939, 5.939 Å; angles 106.03, 111.22, 111.22 degrees
Each line ends with the local moment (μB).
Positions (direct):
K: 0.500 0.750 0.250  0.03
K: 0.000 0.000 0.000  0.01
O: 0.293 0.800 0.785  0.02
O: 0.985 0.493 0.200  0.02
O: 0.707 0.493 0.507  0.02
O: 0.015 0.215 0.507  0.02
Pb: 0.500 0.250 0.750  0.29
As: 0.000 0.500 0.500  0.00

Entry 11:
Compound: Pu2BiH2
Source: Alexandria
Functional: PBE
Structure: relaxed

Values from the calculation:
Space group: No. 15
Relative energy among the computed polymorphs (eV/f.u.): 2.32
Spin magnetization (μB/cell): 0.58

Cell lengths 3.486, 7.172, 7.020 Å; angles 110.40, 104.38, 90.00 degrees
Each line ends with the local moment (μB).
Positions (direct):
Pu: 0.939 0.221 0.379  0.15
Pu: 0.061 0.779 0.621  0.15
Pu: 0.560 0.279 0.621  0.15
Pu: 0.440 0.721 0.379  0.15
H: 0.072 0.484 0.646  0.00
H: 0.928 0.516 0.354  0.00
H: 0.426 0.016 0.354  0.00
H: 0.574 0.984 0.646  0.00
Bi: 0.751 0.750 0.000  -0.01
Bi: 0.249 0.250 0.000  -0.01

Entry 12:
Compound: Hf4ReNi3
Source: Alexandria
Functional: PBE
Structure: relaxed

Values from the calculation:
ΔE_f (kJ per mole of atoms): -41
Space group: No. 166
Spin magnetization (μB/cell): 0.00

Cell lengths 4.551, 4.551, 7.842 Å; angles 73.13, 73.13, 60.00 degrees
Positions (direct):
Ni: 0.253 0.253 0.242
Ni: 0.747 0.747 0.758
Ni: 0.500 0.500 0.500
Hf: 0.126 0.126 0.622
Hf: 0.376 0.376 0.871
Hf: 0.624 0.624 0.129
Hf: 0.874 0.874 0.378
Re: 0.000 0.000 0.000

Q: The highest spin magnetization belongs to which entry?
A: K2AsPbO4

Q: Look up the spin magnetization of the first one.
A: 0.00 μB/cell